Below is crystalline AcB2MoO8 at its relaxed geometry, with properties calculated at the PBE+U level.

abc: 8.0533 5.0512 7.3257
angles: 90.00 92.77 90.00
With the nearest neighbours (Å) after each atom.
Space group C2/m (No. 12)
Inequivalent atoms, fractional coordinates:
Ac  0.0000  0.0000  0.0000  6 O 2.59-2.62
B  0.1402  0.5000  0.2800  4 O 1.45-1.48
Mo  0.0000  0.0000  0.5000  6 O 1.86-1.97
O  0.0362  0.2630  0.3075  1 B 1.48
O  0.1946  0.5000  0.0945  1 B 1.45
O  0.2222  0.0000  0.5809  1 B 1.47

## Properties
- mass density (Mg/m³) = 5.27
- DFT total energy (eV per atom) = -7.5308
- crystal system = monoclinic